The following is a GGA-PBE calculation of Ca2MgTa after structural relaxation, from Alexandria via LeMat-Bulk.

DFT total energy (eV for the cell shown): -27.03
Magnetic moment (μB/cell): 5.95
Symmetry: I-42d, No. 122

Unit cell a=8.492 b=8.492 c=6.781 alpha=51.23 beta=51.23 gamma=90.00
Each line ends with the local moment (μB).
Fractional coordinates of all 8 atoms:
Ca  0.619  0.125  0.250  0.09
Ca  0.131  0.625  0.250  0.09
Ca  0.375  0.381  0.750  0.08
Ca  0.875  0.869  0.750  0.08
Mg  0.500  0.500  0.000  0.00
Mg  0.250  0.750  0.500  0.00
Ta  0.000  0.000  0.000  1.56
Ta  0.750  0.250  0.500  1.56